Entry 1:
DFT (PBE) results for Tl2InCo after structural relaxation.

Lattice parameters (Å, degrees): 7.2021 7.2021 7.2021 90.00 90.00 90.00
Space group Fm-3m (No. 225)
Symmetry-distinct sites (fractional):
Tl 0.2500 0.2500 0.2500 x8
In 0.0000 0.0000 0.0000 x4
Co 0.0000 0.0000 0.5000 x4

crystal system	cubic
excess energy over the best structure of this formula in the dataset	366	meV per atom


Entry 2:
DFT (PBE) results for Cd3AgHg3 after structural relaxation.

Lattice parameters (Å, degrees): 10.9944 5.8688 10.9195 90.00 90.40 90.00
Space group C2/m (No. 12)
Symmetry-distinct sites (fractional):
Cd 0.0000 0.2478 0.0000 x4
Cd 0.0000 0.2475 0.5000 x4
Cd 0.2429 0.0000 0.9995 x4
Ag 0.2374 0.0000 0.4998 x4
Hg 0.0003 0.5000 0.2489 x4
Hg 0.2502 0.2499 0.2611 x8

crystal system	monoclinic


Entry 3:
DFT (PBE) results for BeNi2Br after structural relaxation.

Lattice parameters (Å, degrees): 5.9194 5.9194 5.9194 90.00 90.00 90.00
Space group F-43m (No. 216)
Symmetry-distinct sites (fractional):
Be 0.0000 0.0000 0.0000 x4
Ni 0.0000 0.0000 0.5000 x4
Ni 0.2500 0.2500 0.7500 x4
Br 0.2500 0.2500 0.2500 x4

energy relative to the elements, uncorrected	700	meV per atom
crystal system	cubic
excess energy over the best structure of this formula in the dataset	567	meV per atom


Entry 4:
DFT (PBE) results for La3InTe after structural relaxation.

Lattice parameters (Å, degrees): 5.9446 5.9446 5.9446 90.00 90.00 90.00
Space group Pm-3m (No. 221)
Symmetry-distinct sites (fractional):
La 0.0000 0.0000 0.5000 x3
In 0.5000 0.5000 0.5000 x1
Te 0.0000 0.0000 0.0000 x1

energy relative to the elements, uncorrected	-330	meV per atom
crystal system	cubic
excess energy over the best structure of this formula in the dataset	0	meV per atom


Entry 5:
DFT (PBE) results for Ag2OsBr after structural relaxation.

Lattice parameters (Å, degrees): 2.9487 4.7843 5.0834 90.00 90.00 90.00
Space group Pmmm (No. 47)
Symmetry-distinct sites (fractional):
Ag 0.0000 0.0000 0.0000 x1
Ag 0.5000 0.5000 0.0000 x1
Os 0.0000 0.5000 0.5000 x1
Br 0.5000 0.0000 0.5000 x1

energy relative to the elements, uncorrected	985	meV per atom
crystal system	orthorhombic
excess energy over the best structure of this formula in the dataset	322	meV per atom


Entry 6:
DFT (PBE) results for CePr6Ho after structural relaxation.

Lattice parameters (Å, degrees): 7.3552 10.3312 14.7070 90.00 90.00 90.00
Space group Fmmm (No. 69)
Symmetry-distinct sites (fractional):
Ce 0.0000 0.0000 0.0000 x4
Pr 0.0000 0.0000 0.2483 x8
Pr 0.2500 0.2500 0.1210 x16
Ho 0.0000 0.0000 0.5000 x4

crystal system	orthorhombic


no.,E_tot (eV per atom),ρ (g/cm3)
1,-3.052,10.4
2,-0.866,9.9
3,-3.540,6.6
4,-4.463,5.2
5,-3.666,11.3
6,-4.849,6.8